Entry 1:
Computed, not measured: a relaxed structure of NbHF2 at the PBE-GGA level of DFT.

Cell lengths 4.514, 4.514, 5.089 Å; angles 63.67, 63.67, 90.00 degrees
Sites, in units of the cell vectors:
1 H 0.500 0.500 0.000
2 H 0.250 0.750 0.500
3 Nb 0.000 0.000 0.000
4 Nb 0.750 0.250 0.500
5 F 0.473 0.125 0.250
6 F 0.277 0.625 0.250
7 F 0.375 0.527 0.750
8 F 0.875 0.723 0.750

* offset from the most stable computed form: 655 meV per atom
* SG: I-42d (122)


Entry 2:
Computed, not measured: a relaxed structure of TaTe2RhN at the PBE-GGA level of DFT.

Cell lengths 5.372, 5.372, 3.633 Å; angles 90.00, 90.00, 90.00 degrees
Each line ends with the local moment (μB).
Sites, in units of the cell vectors:
1 N 0.000 0.000 0.500  -0.05
2 Te 0.000 0.500 0.000  -0.07
3 Te 0.500 0.000 0.000  -0.07
4 Rh 0.000 0.000 0.000  0.01
5 Ta 0.500 0.500 0.500  1.11

* offset from the most stable computed form: 261 meV per atom
* SG: P4/mmm (123)
* uncorrected formation energy: 357 kJ/mol of formula units


Entry 3:
Computed, not measured: a relaxed structure of La2YTc2 at the PBE-GGA level of DFT.

Cell lengths 7.510, 7.510, 4.638 Å; angles 90.00, 90.00, 90.00 degrees
Each line ends with the local moment (μB).
Sites, in units of the cell vectors:
1 Y 0.000 0.000 0.000  0.00
2 Y 0.500 0.500 0.000  0.00
3 Tc 0.390 0.890 0.000  0.11
4 Tc 0.890 0.610 0.000  0.11
5 Tc 0.610 0.110 0.000  0.11
6 Tc 0.110 0.390 0.000  0.11
7 La 0.179 0.679 0.500  0.01
8 La 0.679 0.821 0.500  0.01
9 La 0.821 0.321 0.500  0.01
10 La 0.321 0.179 0.500  0.01

* SG: P4/mbm (127)
* formation enthalpy at 0 K: 0.16 eV/atom


Entry 4:
Computed, not measured: a relaxed structure of SrIn2Br at the PBE-GGA level of DFT.

Cell lengths 6.378, 6.378, 3.900 Å; angles 90.00, 90.00, 122.48 degrees
Sites, in units of the cell vectors:
1 Sr 0.500 0.000 0.500
2 Br 0.000 0.500 0.500
3 In 0.000 0.000 0.000
4 In 0.500 0.500 0.000

* offset from the most stable computed form: 230 meV per atom
* SG: Cmmm (65)
* uncorrected formation energy: -181 kJ/mol of formula units


Entry 5:
Computed, not measured: a relaxed structure of FeMo3Ru at the PBE-GGA level of DFT.

Cell lengths 4.391, 4.391, 4.391 Å; angles 90.00, 90.00, 90.00 degrees
Sites, in units of the cell vectors:
1 Ru 0.500 0.500 0.500
2 Mo 0.000 0.500 0.000
3 Mo 0.000 0.000 0.500
4 Mo 0.500 0.000 0.000
5 Fe 0.000 0.000 0.000

* offset from the most stable computed form: 0 meV per atom
* SG: Pm-3m (221)
* formation enthalpy at 0 K: 1.22 eV/atom


Entry 6:
Computed, not measured: a relaxed structure of SmAlCuPt3 at the PBE-GGA level of DFT.

Cell lengths 5.753, 6.669, 6.738 Å; angles 119.66, 90.00, 90.00 degrees
Sites, in units of the cell vectors:
1 Sm 0.750 0.292 0.584
2 Sm 0.250 0.708 0.416
3 Al 0.250 0.371 0.742
4 Al 0.750 0.629 0.258
5 Cu 0.250 0.943 0.885
6 Cu 0.750 0.057 0.115
7 Pt 0.250 0.168 0.336
8 Pt 0.000 0.290 0.000
9 Pt 0.500 0.710 0.000
10 Pt 0.500 0.290 0.000
11 Pt 0.000 0.710 0.000
12 Pt 0.750 0.832 0.664

* SG: Cmcm (63)
* formation enthalpy at 0 K: -0.62 eV/atom


Entry 7:
Computed, not measured: a relaxed structure of Tb2PmPrTl4 at the PBE-GGA level of DFT.

Cell lengths 5.455, 5.455, 9.459 Å; angles 73.24, 73.24, 60.00 degrees
Sites, in units of the cell vectors:
1 Tb 0.750 0.750 0.750
2 Tb 0.250 0.250 0.250
3 Pm 0.500 0.500 0.500
4 Pr 0.000 0.000 0.000
5 Tl 0.376 0.376 0.873
6 Tl 0.874 0.874 0.377
7 Tl 0.126 0.126 0.623
8 Tl 0.624 0.624 0.127

* SG: R-3m (166)
* formation enthalpy at 0 K: -0.37 eV/atom


Entry 8:
Computed, not measured: a relaxed structure of Na2B2SbO6 at the PBE-GGA level of DFT.

Cell lengths 5.159, 5.159, 6.175 Å; angles 90.00, 90.00, 120.00 degrees
Sites, in units of the cell vectors:
1 Na 0.333 0.667 0.347
2 Na 0.667 0.333 0.653
3 B 0.333 0.667 0.805
4 B 0.667 0.333 0.195
5 Sb 0.000 0.000 0.000
6 O 0.277 0.374 0.792
7 O 0.097 0.723 0.792
8 O 0.626 0.903 0.792
9 O 0.723 0.626 0.208
10 O 0.903 0.277 0.208
11 O 0.374 0.097 0.208

* SG: P-3 (147)
* uncorrected formation energy: -2020 kJ/mol of formula units